Computed, not measured: a PBEsol-optimized structure of InHgTeN2 at the SCAN level of DFT.

Cell and atoms, written as extended XYZ:
```
5
Lattice="4.241 0.000 0.000 0.000 4.241 0.000 0.000 0.000 6.155" Properties=species:S:1:pos:R:3 pbc="T T T"
In 0.000 0.000 0.000
Hg 2.120 2.120 3.077
Te 0.000 0.000 3.077
N 0.000 2.120 0.000
N 2.120 0.000 0.000
```

uncorrected formation energy = 569 kJ/mol of formula units
space-group type = P4/mmm (123)

=====

Computed, not measured: a PBEsol-optimized structure of TlPPb at the SCAN level of DFT.

Cell and atoms, written as extended XYZ:
```
3
Lattice="4.055 0.000 0.000 -2.027 3.511 0.000 0.000 0.000 5.650" Properties=species:S:1:pos:R:3 pbc="T T T"
Tl 0.000 0.000 0.000
P 0.000 2.341 3.971
Pb 2.027 1.170 2.503
```

energy above the lowest structure with this stoichiometry = 0.00 eV per formula unit
space-group type = P3m1 (156)

=====

Computed, not measured: a PBEsol-optimized structure of Tl2RuSe at the SCAN level of DFT.

Cell and atoms, written as extended XYZ:
```
4
Lattice="0.000 3.436 3.436 3.436 0.000 3.436 3.436 3.436 0.000" Properties=species:S:1:pos:R:3 pbc="T T T"
Tl 0.000 0.000 0.000
Tl 1.718 1.718 1.718
Ru 3.436 3.436 3.436
Se 5.154 5.154 5.154
```

energy above the lowest structure with this stoichiometry = 2.42 eV per formula unit
uncorrected formation energy = 270 kJ/mol of formula units
space-group type = F-43m (216)

=====

Computed, not measured: a PBEsol-optimized structure of Rb2NiH8C2O10 at the SCAN level of DFT.

Cell and atoms, written as extended XYZ:
```
46
Lattice="7.485 0.000 0.000 0.000 6.410 0.000 -4.298 0.000 10.967" Properties=species:S:1:pos:R:3 pbc="T T T"
Rb 0.934 1.167 1.984
Rb -1.215 2.038 7.468
Rb 4.403 4.372 3.499
Rb 2.254 5.243 8.983
Ni 1.594 0.000 5.484
Ni 3.742 3.205 0.000
H -0.507 4.401 1.406
H -2.656 5.214 6.889
H -2.792 0.789 9.896
H -0.643 2.416 4.413
H 0.223 4.589 5.666
H 2.372 5.026 0.183
H 2.065 4.206 1.574
H -0.084 5.409 7.057
H 3.271 1.001 3.910
H 1.123 2.204 9.393
H 0.816 1.384 10.784
H 2.965 1.821 5.301
H 3.830 3.994 6.554
H 5.979 5.621 1.071
H 5.844 1.196 4.078
H 3.695 2.009 9.562
C 0.717 4.452 3.589
C -1.432 5.163 9.072
C 4.619 1.247 1.895
C 2.470 1.958 7.378
O -0.859 1.466 4.629
O -3.008 1.739 10.113
O -0.217 4.060 4.387
O -2.365 5.556 9.870
O 0.823 3.941 2.409
O -1.325 5.674 7.893
O -0.577 4.235 9.413
O 1.572 5.381 3.929
O 2.841 4.520 0.969
O 0.692 5.095 6.453
O 2.495 1.315 4.514
O 0.346 1.890 9.998
O 1.615 1.029 7.038
O 3.764 2.176 1.554
O 4.513 0.736 3.074
O 2.364 2.469 8.558
O 5.553 0.855 1.097
O 3.404 2.350 6.580
O 6.196 4.671 0.854
O 4.047 4.944 6.338
```

space-group type = P2_1/c (14)

=====

Computed, not measured: a PBEsol-optimized structure of AlCu2Ni3 at the SCAN level of DFT.

Cell and atoms, written as extended XYZ:
```
6
Lattice="1.732 -5.292 0.000 1.732 5.292 0.000 0.000 0.000 3.606" Properties=species:S:1:pos:R:3 pbc="T T T"
Al 0.000 0.000 0.000
Cu 1.732 3.502 1.803
Cu 1.732 -3.502 1.803
Ni 1.732 1.758 0.000
Ni 1.732 0.000 1.803
Ni 1.732 -1.758 0.000
```

energy above the lowest structure with this stoichiometry = 0.16 eV per formula unit
space-group type = Cmmm (65)

=====

Computed, not measured: a PBEsol-optimized structure of RbHfS3 at the SCAN level of DFT.

Cell and atoms, written as extended XYZ:
```
5
Lattice="4.967 0.000 0.000 0.000 4.967 0.000 0.000 0.000 4.967" Properties=species:S:1:pos:R:3 pbc="T T T"
Rb 0.000 0.000 0.000
Hf 2.484 2.484 2.484
S 0.000 2.484 2.484
S 2.484 0.000 2.484
S 2.484 2.484 0.000
```

uncorrected formation energy = -678 kJ/mol of formula units
space-group type = Pm-3m (221)

=====

Computed, not measured: a PBEsol-optimized structure of Zn3P at the SCAN level of DFT.

Cell and atoms, written as extended XYZ:
```
4
Lattice="2.862 -3.828 0.000 2.862 3.828 0.000 0.000 0.000 2.637" Properties=species:S:1:pos:R:3 pbc="T T T"
Zn 0.000 0.000 0.000
Zn 1.431 1.914 1.319
Zn 1.431 -1.914 1.319
P 2.862 0.000 0.000
```

energy above the lowest structure with this stoichiometry = 0.55 eV per formula unit
space-group type = Cmmm (65)

=====

Computed, not measured: a PBEsol-optimized structure of Sb2MoPb at the SCAN level of DFT.

Cell and atoms, written as extended XYZ:
```
4
Lattice="0.000 3.544 3.544 3.544 0.000 3.544 3.544 3.544 0.000" Properties=species:S:1:pos:R:3 pbc="T T T"
Sb 0.000 0.000 0.000
Sb 1.772 1.772 1.772
Mo 3.544 3.544 3.544
Pb 5.316 5.316 5.316
```

uncorrected formation energy = 321 kJ/mol of formula units
space-group type = F-43m (216)

=====

VASP energy in eV/atom, matching the order above: -30.30 -52.80 -49.21 -8.63 -14.69 -23.87 -12.51 -45.47